Here is Ba2Zn3Ga after structural relaxation from Alexandria via LeMat-Bulk. Energies are from PBE.

Properties
Relative energy among the computed polymorphs, eV/atom: 0.0077
Magnetization, Bohr magnetons per cell: 0.00
Energy relative to the elements, eV per formula unit: -1.5
D(E_F), states/eV per cell: 11.07

Cell lengths 6.5818, 6.5818, 9.3432 Å; angles 110.49, 110.49, 90.37 degrees
Closest atoms and distances in Å follow each position.
Fractional coordinates of all 12 atoms:
Ba1 0.7500 0.2500 0.5000  8 Zn 3.53-3.57, 4 Ga 3.58
Ba2 0.7670 0.2330 0.0000  10 Zn 3.52-3.61, 2 Ga 3.64
Ba3 0.2500 0.7500 0.5000  8 Zn 3.53-3.57, 4 Ga 3.58
Ba4 0.2330 0.7670 0.0000  10 Zn 3.52-3.61, 2 Ga 3.64
Zn1 0.8236 0.8236 0.1670  1 Ga 2.58, 2 Zn 2.71-2.80
Zn2 0.6566 0.6566 0.8330  1 Ga 2.58, 2 Zn 2.71-2.80
Zn3 0.1764 0.1764 0.8330  1 Ga 2.58, 2 Zn 2.71-2.80
Zn4 0.3434 0.3434 0.1670  1 Ga 2.58, 2 Zn 2.71-2.80
Zn5 0.1710 0.1710 0.3421  1 Ga 2.68, 2 Zn 2.80
Zn6 0.8290 0.8290 0.6579  1 Ga 2.68, 2 Zn 2.80
Ga1 0.6637 0.6637 0.3275  3 Zn 2.58-2.68
Ga2 0.3363 0.3363 0.6725  3 Zn 2.58-2.68